Here is a geometry-optimized MnMoAuO2 structure from Alexandria. Energies are from PBE with a Hubbard U.

Values from the calculation:
- Final energy: -6.03 eV per atom
- D(E_F): 1.07 states/eV/cell

Lattice parameters (Å, degrees): 3.852 3.852 6.149 90.00 90.00 90.00
Space group P4/mmm (No. 123)
One atom of each set of equivalent atoms:
Mn (0.000, 0.000, 0.000)
Mo (0.000, 0.000, 0.500)
Au (0.500, 0.500, 0.000)
O (0.000, 0.500, 0.500)